# 1
4
Lattice="4.3451 -0.0215 0.0568 2.1941 3.7505 0.0568 2.0160 1.1496 10.3833" Properties=species:S:1:pos:R:3 comment="KCa2Au, relaxed, DFT PBE" delta_e_f_kj_per_mol_atoms=-34 e_tot_ev_per_atom=-2.450 de_polymorph_mev_per_atom=3.4 pbc="T T T"
Au 2.1388 1.2196 2.6242
Ca 6.5198 3.7179 1.1174
Ca 4.2969 2.4503 4.2447
K 6.4164 3.6589 7.8727


# 2
5
Lattice="-3.7236 -1.2402 3.5122 -2.7949 -2.3525 -3.7938 2.4621 -4.5460 1.0051" Properties=species:S:1:pos:R:3 comment="HfZnAu3, relaxed, DFT PBE" delta_e_f_kj_per_mol_atoms=62 e_tot_ev_per_atom=-3.569 de_polymorph_mev_per_atom=910.7 pbc="T T T"
Hf 0.0000 0.0000 0.0000
Zn -2.0282 -4.0694 0.3618
Au -1.3974 -1.1763 -1.8969
Au 1.2311 -2.2730 0.5026
Au -1.8618 -0.6201 1.7561


# 3
8
Lattice="-4.0361 0.1855 0.0667 -0.1301 -3.5338 1.9556 0.2961 3.9005 7.0680" Properties=species:S:1:pos:R:3 comment="NpPaRh6, relaxed, DFT PBE" delta_e_f_kj_per_mol_atoms=-63 e_tot_ev_per_atom=-8.966 pbc="T T T"
Np 0.0000 0.0000 0.0000
Pa 0.1480 1.9503 3.5340
Rh -2.0831 -1.6742 1.0112
Rh -1.9350 0.2761 4.5451
Rh -1.9454 1.0499 1.7677
Rh -1.7946 3.0362 5.3670
Rh 0.0076 -0.8098 2.7122
Rh 0.1584 1.1765 6.3114


# 4
12
Lattice="4.8578 0.0000 0.0000 0.0000 7.2178 0.0000 0.0000 0.0000 10.1155" Properties=species:S:1:pos:R:3 comment="NdTm2Pb3, relaxed, DFT PBE" delta_e_f_kj_per_mol_atoms=-42 e_tot_ev_per_atom=-4.575 de_polymorph_mev_per_atom=32.4 pbc="T T T"
Nd 0.0000 6.5621 9.3967
Nd 0.0000 2.9532 0.7187
Tm 0.0000 6.5609 2.9050
Tm 2.4289 1.1387 5.0627
Tm 0.0000 2.9519 7.2105
Tm 2.4289 4.7476 5.0528
Pb 2.4289 0.9144 1.6087
Pb 2.4289 1.3814 8.5069
Pb 0.0000 2.9400 4.0604
Pb 2.4289 4.5233 8.5068
Pb 2.4289 4.9903 1.6086
Pb 0.0000 6.5489 6.0551